Entry 1:
Here is Pu2Al3Au9 after structural relaxation from Alexandria via LeMat-Bulk. Energies are from PBE-GGA.

Properties
- VASP energy (hartree per atom) = -0.1984
- SG = C2/c
- DOS(E_F) (states/eV/f.u.) = 32.5
- V (Å³/f.u.) = 271.9

Lattice parameters (Å, degrees): 7.968 7.968 10.932 111.54 111.54 59.89
Element x y z (fractional)
Pu  0.084  0.252  0.249
Pu  0.252  0.084  0.749
Pu  0.748  0.916  0.251
Pu  0.916  0.748  0.751
Al  0.000  0.500  0.000
Al  0.152  0.676  0.502
Al  0.324  0.848  0.998
Al  0.500  0.000  0.500
Al  0.676  0.152  0.002
Al  0.848  0.324  0.498
Au  0.023  0.856  0.070
Au  0.144  0.977  0.430
Au  0.191  0.355  0.566
Au  0.194  0.582  0.255
Au  0.307  0.480  0.933
Au  0.355  0.191  0.066
Au  0.355  0.645  0.750
Au  0.418  0.806  0.245
Au  0.480  0.307  0.433
Au  0.520  0.693  0.567
Au  0.582  0.194  0.755
Au  0.645  0.355  0.250
Au  0.645  0.809  0.934
Au  0.693  0.520  0.067
Au  0.806  0.418  0.745
Au  0.809  0.645  0.434
Au  0.856  0.023  0.570
Au  0.977  0.144  0.930

Entry 2:
Here is Cd2InHg after structural relaxation from Alexandria via LeMat-Bulk. Energies are from PBE-GGA.

Properties
- SG = R3m
- energy above the lowest structure with this stoichiometry (eV/atom) = 0.016
- DOS(E_F) (states/eV/f.u.) = 1.2
- V (Å³/f.u.) = 99.0

Lattice parameters (Å, degrees): 3.330 3.330 30.944 90.00 90.00 120.00
Element x y z (fractional)
Cd  0.000  0.000  0.000
Cd  0.000  0.000  0.171
Cd  0.333  0.667  0.667
Cd  0.333  0.667  0.838
Cd  0.667  0.333  0.333
Cd  0.667  0.333  0.504
In  0.000  0.000  0.752
In  0.333  0.667  0.419
In  0.667  0.333  0.085
Hg  0.000  0.000  0.585
Hg  0.333  0.667  0.252
Hg  0.667  0.333  0.919

Entry 3:
Here is LaMgAl2 after structural relaxation from Alexandria via LeMat-Bulk. Energies are from PBE-GGA.

Properties
- VASP energy (hartree per atom) = -0.1323
- SG = Cmmm
- DOS(E_F) (states/eV/f.u.) = 2.0
- V (Å³/f.u.) = 94.5

Lattice parameters (Å, degrees): 6.567 9.255 3.111 90.00 90.00 90.00
Element x y z (fractional)
La  0.000  0.000  0.000
La  0.500  0.500  0.000
Mg  0.000  0.500  0.000
Mg  0.500  0.000  0.000
Al  0.250  0.250  0.500
Al  0.250  0.750  0.500
Al  0.750  0.250  0.500
Al  0.750  0.750  0.500

Q: Number 2 is which compound?
A: Cd2InHg

Copy entry 1 word for word.
Here is Pu2Al3Au9 after structural relaxation from Alexandria via LeMat-Bulk. Energies are from PBE-GGA.

Properties
- VASP energy (hartree per atom) = -0.1984
- SG = C2/c
- DOS(E_F) (states/eV/f.u.) = 32.5
- V (Å³/f.u.) = 271.9

Lattice parameters (Å, degrees): 7.968 7.968 10.932 111.54 111.54 59.89
Element x y z (fractional)
Pu  0.084  0.252  0.249
Pu  0.252  0.084  0.749
Pu  0.748  0.916  0.251
Pu  0.916  0.748  0.751
Al  0.000  0.500  0.000
Al  0.152  0.676  0.502
Al  0.324  0.848  0.998
Al  0.500  0.000  0.500
Al  0.676  0.152  0.002
Al  0.848  0.324  0.498
Au  0.023  0.856  0.070
Au  0.144  0.977  0.430
Au  0.191  0.355  0.566
Au  0.194  0.582  0.255
Au  0.307  0.480  0.933
Au  0.355  0.191  0.066
Au  0.355  0.645  0.750
Au  0.418  0.806  0.245
Au  0.480  0.307  0.433
Au  0.520  0.693  0.567
Au  0.582  0.194  0.755
Au  0.645  0.355  0.250
Au  0.645  0.809  0.934
Au  0.693  0.520  0.067
Au  0.806  0.418  0.745
Au  0.809  0.645  0.434
Au  0.856  0.023  0.570
Au  0.977  0.144  0.930